The following is a PBE-GGA calculation of crystalline Pr4Mg5Co2 at its relaxed geometry, from Alexandria via LeMat-Bulk.

**E_form**: -0.05 eV per atom
**SG**: P2/m (10)

Lattice parameters (Å, degrees): 8.0269 3.7068 9.7707 90.00 94.48 90.00
Positions (direct):
Pr 0.1696 0.0000 0.3386
Pr 0.2050 0.0000 0.9467
Pr 0.7950 0.0000 0.0533
Pr 0.8304 0.0000 0.6614
Mg 0.1773 0.5000 0.6499
Mg 0.4521 0.5000 0.1725
Mg 0.5000 0.5000 0.5000
Mg 0.5479 0.5000 0.8275
Mg 0.8227 0.5000 0.3501
Co 0.0720 0.5000 0.1377
Co 0.9280 0.5000 0.8623